1.
Entry from Alexandria: crystalline Ce6SnRu at its relaxed geometry (PBE-GGA).

Calculated values
ΔH_f (0 K) = -74.4 meV/atom
SG = No. 12

Geometry as extended XYZ:
```
8
Lattice="0.775 -5.405 -2.871 6.539 -2.387 -2.030 3.857 -3.648 3.766" Properties=species:S:1:pos:R:3 pbc="T T T"
Ce 5.293 -5.555 -3.503
Ce 4.991 -4.249 0.101
Ce 6.181 -7.192 -1.235
Ce 2.021 -2.237 -1.397
Ce 8.291 -5.572 -0.663
Ce 2.881 -5.869 -0.472
Ru 3.657 -3.896 -2.450
Sn 0.000 0.000 0.000
```

***

2.
Entry from Alexandria: crystalline Ce6SnRu2 at its relaxed geometry (PBE-GGA).

Calculated values
ΔH_f (0 K) = -379.4 meV/atom
relative energy among the computed polymorphs = 0 meV/atom
SG = No. 12

Geometry as extended XYZ:
```
9
Lattice="-1.727 -4.342 -0.483 3.983 1.402 -3.997 6.180 -3.076 5.550" Properties=species:S:1:pos:R:3 pbc="T T T"
Ce 0.834 -2.869 -0.034
Ce 4.190 -4.358 1.355
Ce 7.602 -3.146 1.103
Ce 4.246 -1.657 -0.286
Ce 5.794 -2.770 4.184
Ce 2.642 -3.245 -3.114
Ru 6.083 -5.251 2.607
Ru 2.353 -0.764 -1.538
Sn 3.090 -1.538 2.775
```

***

3.
Entry from Alexandria: crystalline Ce2SnRu2 at its relaxed geometry (PBE-GGA).

Calculated values
ΔH_f (0 K) = -508.0 meV/atom
SG = No. 15

Geometry as extended XYZ:
```
10
Lattice="-1.711 2.203 4.283 4.212 -4.015 0.698 3.884 7.413 -2.262" Properties=species:S:1:pos:R:3 pbc="T T T"
Ce 5.453 4.733 0.618
Ce 4.002 0.394 0.521
Ce 0.932 0.869 2.101
Ce 2.383 5.207 2.198
Ru 5.065 6.457 2.596
Ru 2.788 3.462 0.177
Ru 1.320 -0.855 0.122
Ru 3.597 2.140 2.541
Sn 2.683 5.857 -1.120
Sn -0.510 3.760 3.141
```

***

4.
Entry from Alexandria: crystalline Ce7SnRu2 at its relaxed geometry (PBE-GGA).

Calculated values
ΔH_f (0 K) = -124.6 meV/atom
SG = No. 65

Geometry as extended XYZ:
```
10
Lattice="-3.692 -1.568 3.097 -1.946 -5.674 -5.193 5.424 -3.047 4.924" Properties=species:S:1:pos:R:3 pbc="T T T"
Ce 0.080 -4.952 -2.412
Ce -0.107 -5.144 1.414
Ce -0.393 -2.122 2.604
Ce 1.789 -7.593 2.435
Ce -2.003 -2.696 0.393
Ce 3.398 -3.769 2.143
Ce 0.179 -8.167 0.224
Sn 0.000 0.000 0.000
Ru -1.554 -5.660 -0.573
Ru 1.340 -4.628 3.400
```

***

5.
Entry from Alexandria: crystalline Ce4SnRu at its relaxed geometry (PBE-GGA).

Calculated values
ΔH_f (0 K) = -356.2 meV/atom
relative energy among the computed polymorphs = 11 meV/atom
SG = No. 15

Geometry as extended XYZ:
```
12
Lattice="-5.496 -1.537 1.191 5.002 -1.819 6.140 -0.911 7.999 -0.851" Properties=species:S:1:pos:R:3 pbc="T T T"
Ce -2.199 -0.478 2.911
Ce 0.011 2.266 1.634
Ce -1.407 -1.664 5.899
Ce 2.244 2.820 5.356
Ce -1.416 2.376 4.847
Ce 0.002 6.307 0.582
Ce 0.794 5.121 3.570
Ce -3.649 1.823 1.125
Sn -2.254 4.421 2.438
Sn 0.849 0.222 4.043
Ru -1.419 -0.140 0.407
Ru 0.014 4.783 6.074
```

***

6.
Entry from Alexandria: crystalline Ce3Sn13Ru4 at its relaxed geometry (PBE-GGA).

Calculated values
ΔH_f (0 K) = -420.0 meV/atom
SG = No. 223

Geometry as extended XYZ:
```
40
Lattice="9.784 0.000 0.000 0.000 9.784 0.000 0.000 0.000 9.784" Properties=species:S:1:pos:R:3 pbc="T T T"
Sn 4.892 6.403 7.888
Sn 7.888 4.892 6.403
Sn 8.274 0.000 6.789
Sn 8.274 0.000 2.995
Sn 6.403 1.897 4.892
Sn 1.897 4.892 6.403
Sn 0.000 6.789 1.511
Sn 4.892 4.892 4.892
Sn 1.897 4.892 3.382
Sn 2.995 8.274 0.000
Sn 0.000 0.000 0.000
Sn 1.511 0.000 6.789
Sn 3.382 1.897 4.892
Sn 0.000 2.995 8.274
Sn 1.511 0.000 2.995
Sn 6.789 1.511 0.000
Sn 4.892 3.382 1.897
Sn 6.789 8.274 0.000
Sn 7.888 4.892 3.382
Sn 2.995 1.511 0.000
Sn 3.382 7.888 4.892
Sn 6.403 7.888 4.892
Sn 0.000 2.995 1.511
Sn 4.892 6.403 1.897
Sn 4.892 3.382 7.888
Sn 0.000 6.789 8.274
Ce 2.446 4.892 0.000
Ce 7.338 4.892 0.000
Ce 0.000 7.338 4.892
Ce 0.000 2.446 4.892
Ce 4.892 0.000 2.446
Ce 4.892 0.000 7.338
Ru 7.338 7.338 7.338
Ru 2.446 2.446 7.338
Ru 2.446 7.338 7.338
Ru 7.338 2.446 2.446
Ru 2.446 7.338 2.446
Ru 2.446 2.446 2.446
Ru 7.338 7.338 2.446
Ru 7.338 2.446 7.338
```

***

7.
Entry from Alexandria: crystalline CeSnRu at its relaxed geometry (PBE-GGA).

Calculated values
ΔH_f (0 K) = -630.7 meV/atom
SG = No. 12

Geometry as extended XYZ:
```
6
Lattice="-1.166 -4.384 1.666 4.177 -0.046 2.799 -3.471 4.593 2.654" Properties=species:S:1:pos:R:3 pbc="T T T"
Ce -2.837 -0.457 3.869
Ce 2.339 0.601 3.259
Sn -0.515 1.951 4.821
Sn 0.017 -1.807 2.308
Ru -0.218 0.884 2.215
Ru -0.281 -0.739 4.914
```

***

8.
Entry from Alexandria: crystalline Ce6Sn2Ru at its relaxed geometry (PBE-GGA).

Calculated values
ΔH_f (0 K) = -326.3 meV/atom
SG = No. 14

Geometry as extended XYZ:
```
18
Lattice="-2.664 2.842 4.652 -6.935 -4.083 -1.477 3.441 -7.880 5.634" Properties=species:S:1:pos:R:3 pbc="T T T"
Sn -5.078 -7.874 5.805
Sn -1.081 -1.248 3.005
Sn -2.471 -4.814 7.769
Sn -3.688 -4.307 1.040
Ce -4.126 -2.231 3.541
Ce -6.494 -2.643 0.551
Ce -2.032 -6.891 5.269
Ce -5.110 -4.576 5.906
Ce 0.336 -6.478 8.259
Ce -2.345 -1.471 0.074
Ce -1.048 -4.546 2.904
Ce -3.813 -7.651 8.736
Ce -8.349 -3.452 4.082
Ce 2.191 -5.670 4.727
Ce -5.325 -5.793 3.353
Ce -0.834 -3.328 5.456
Ru 1.720 -3.940 2.817
Ru -4.799 -0.621 1.588
```

***

9.
Entry from Alexandria: crystalline Ce5SnRu2 at its relaxed geometry (PBE-GGA).

Calculated values
ΔH_f (0 K) = -392.6 meV/atom
SG = No. 140

Geometry as extended XYZ:
```
16
Lattice="7.059 0.000 -3.332 -1.573 6.881 -3.332 -0.217 -0.273 8.682" Properties=species:S:1:pos:R:3 pbc="T T T"
Ce -0.816 3.403 4.499
Ce 0.775 5.399 -1.273
Ce 2.743 3.441 -3.332
Ce 4.494 1.210 3.291
Ce 0.000 0.000 0.000
Ce 1.250 -0.037 5.561
Ce 6.085 3.205 -2.481
Ce 4.019 6.646 -3.543
Ce 2.840 1.958 -0.211
Ce 2.428 4.650 2.229
Ru 0.462 2.445 -1.666
Ru 1.163 5.886 -4.034
Ru 4.323 0.995 -2.630
Ru 5.024 4.436 -4.998
Sn 1.263 1.584 2.675
Sn 4.006 5.025 -0.657
```

***

10.
Entry from Alexandria: crystalline Ce7SnRu5 at its relaxed geometry (PBE-GGA).

Calculated values
ΔH_f (0 K) = -274.7 meV/atom
SG = No. 44

Geometry as extended XYZ:
```
13
Lattice="-4.985 3.141 0.416 -6.117 -4.354 1.509 -1.188 2.734 7.054" Properties=species:S:1:pos:R:3 pbc="T T T"
Ru -5.439 -0.416 1.122
Ru -9.117 1.348 6.380
Ru -5.698 4.305 3.807
Ru -7.902 1.135 1.327
Ru -3.235 2.753 3.601
Ce -6.696 -0.370 6.424
Ce -5.904 1.255 3.643
Ce -9.552 1.015 3.677
Ce -7.727 3.640 5.730
Ce -7.664 -1.337 2.117
Ce -2.970 0.590 1.886
Ce -4.340 3.445 5.858
Sn -5.148 2.807 0.988
```

***

11.
Entry from Alexandria: crystalline Ce5SnRu at its relaxed geometry (PBE-GGA).

Calculated values
ΔH_f (0 K) = -176.1 meV/atom
SG = No. 15

Geometry as extended XYZ:
```
14
Lattice="-6.443 -3.129 -1.339 -3.165 -5.434 3.681 -6.110 3.559 5.624" Properties=species:S:1:pos:R:3 pbc="T T T"
Ce -10.220 -1.026 4.113
Ce -8.213 -6.342 2.399
Ce -11.227 -4.591 5.274
Ce -3.917 -2.832 1.183
Ce -11.802 -2.171 6.782
Ce -5.499 -3.977 3.853
Ce -7.506 1.338 5.566
Ce -6.913 -1.094 4.085
Ce -4.492 -0.413 2.692
Ce -8.806 -3.910 3.880
Ru 0.000 0.000 0.000
Ru -3.055 1.780 2.812
Sn -7.151 -2.816 1.323
Sn -8.568 -2.188 6.643
```

***

12.
Entry from Alexandria: crystalline Ce8SnRu6 at its relaxed geometry (PBE-GGA).

Calculated values
ΔH_f (0 K) = -250.1 meV/atom
SG = No. 148

Geometry as extended XYZ:
```
15
Lattice="-2.305 -0.954 -6.816 -5.739 -3.633 2.560 -3.631 6.268 0.461" Properties=species:S:1:pos:R:3 pbc="T T T"
Ru -6.508 2.661 -2.686
Ru -6.695 -0.307 -3.425
Ru -4.198 1.057 -3.184
Ru -4.979 1.988 -0.370
Ru -7.476 0.624 -0.611
Ru -5.166 -0.980 -1.109
Ce -8.840 1.273 -2.874
Ce -7.831 -2.255 -1.726
Ce -4.045 -1.662 -3.926
Ce -6.027 2.006 -5.390
Ce -2.834 0.408 -0.921
Ce -3.843 3.936 -2.069
Ce -5.647 -0.325 1.595
Ce -7.629 3.344 0.131
Sn 0.000 0.000 0.000
```

***

Number 1: total moment 0.00 μB per atom, D(E_F) 2.42 states/eV per atom. Number 2: total moment 0.11 μB per atom, D(E_F) 2.16 states/eV per atom. Number 3: total moment 0.00 μB per atom, D(E_F) 1.26 states/eV per atom. Number 4: total moment 0.44 μB per atom, D(E_F) 2.88 states/eV per atom. Number 5: total moment 0.16 μB per atom, D(E_F) 2.42 states/eV per atom. Number 6: total moment 0.08 μB per atom, D(E_F) 0.90 states/eV per atom. Number 7: total moment 0.00 μB per atom, D(E_F) 0.58 states/eV per atom. Number 8: total moment 0.42 μB per atom, D(E_F) 2.87 states/eV per atom. Number 9: total moment 0.40 μB per atom, D(E_F) 2.90 states/eV per atom. Number 10: total moment 0.09 μB per atom, D(E_F) 1.73 states/eV per atom. Number 11: total moment 0.21 μB per atom, D(E_F) 2.61 states/eV per atom. Number 12: total moment 0.20 μB per atom, D(E_F) 1.92 states/eV per atom.